[1]
{
  "formula": "CoReHg",
  "functional": "GGA-PBE",
  "state": "relaxed",
  "lattice_angstrom": [[-1.4056, 1.4056, 5.8390], [1.4056, -1.4056, 5.8390], [1.4056, 1.4056, -5.8390]],
  "species": ["Co", "Re", "Hg"],
  "frac_coords": [[0.0000, 0.0000, 0.0000], [0.6262, 0.6262, 0.0000], [0.3229, 0.3229, 0.0000]],
  "space_group": "I4mm, No. 107",
  "e_above_lowest_polymorph_mev_per_atom": 0
}

=====

[2]
{
  "formula": "CoReHg2",
  "functional": "GGA-PBE",
  "state": "relaxed",
  "lattice_angstrom": [[-1.4634, 2.4228, 4.7596], [1.4634, -2.4228, 4.7596], [1.4634, 2.4228, -4.7596]],
  "species": ["Co", "Re", "Hg", "Hg"],
  "frac_coords": [[0.0000, 0.0000, 0.0000], [0.5000, 0.5000, 0.0000], [0.2328, 0.7328, 0.5000], [0.7672, 0.2672, 0.5000]],
  "space_group": "Immm, No. 71",
  "e_above_lowest_polymorph_mev_per_atom": 483
}

=====

[3]
{
  "formula": "CoRe2Hg",
  "functional": "GGA-PBE",
  "state": "relaxed",
  "lattice_angstrom": [[2.6165, -4.1740, 0.0000], [2.6165, 4.1740, 0.0000], [0.0000, 0.0000, 2.7928]],
  "species": ["Co", "Re", "Re", "Hg"],
  "frac_coords": [[0.0000, 0.0000, 0.0000], [0.0000, 0.5000, 0.5000], [0.5000, 0.0000, 0.5000], [0.5000, 0.5000, 0.0000]],
  "space_group": "Cmmm, No. 65"
}

=====

[4]
{
  "formula": "CoReHg",
  "functional": "GGA-PBE",
  "state": "relaxed",
  "lattice_angstrom": [[4.3826, 0.0000, 0.0000], [-2.1913, 3.7954, 0.0000], [0.0000, 0.0000, 2.7791]],
  "species": ["Co", "Re", "Hg"],
  "frac_coords": [[0.0000, 0.0000, 0.0000], [0.3333, 0.6667, 0.0000], [0.6667, 0.3333, 0.5000]],
  "space_group": "P-6m2, No. 187",
  "e_above_lowest_polymorph_mev_per_atom": 381
}

=====

[5]
{
  "formula": "CoRe2Hg",
  "functional": "GGA-PBE",
  "state": "relaxed",
  "lattice_angstrom": [[3.0577, 0.0000, 0.0000], [0.0000, 3.0577, 0.0000], [0.0000, 0.0000, 6.7177]],
  "species": ["Co", "Re", "Re", "Hg"],
  "frac_coords": [[0.0000, 0.0000, 0.0000], [0.5000, 0.5000, 0.1863], [0.5000, 0.5000, 0.8137], [0.0000, 0.0000, 0.5000]],
  "space_group": "P4/mmm, No. 123"
}

=====

[6]
{
  "formula": "CoReHg2",
  "functional": "GGA-PBE",
  "state": "relaxed",
  "lattice_angstrom": [[0.0000, 3.2453, 3.2453], [3.2453, 0.0000, 3.2453], [3.2453, 3.2453, 0.0000]],
  "species": ["Co", "Re", "Hg", "Hg"],
  "frac_coords": [[0.0000, 0.0000, 0.0000], [0.2500, 0.2500, 0.2500], [0.5000, 0.5000, 0.5000], [0.7500, 0.7500, 0.7500]],
  "space_group": "F-43m, No. 216",
  "e_above_lowest_polymorph_mev_per_atom": 618
}

=====

[7]
{
  "formula": "CoRe2Hg",
  "functional": "GGA-PBE",
  "state": "relaxed",
  "lattice_angstrom": [[-1.8696, 1.8696, 9.4935], [1.8696, -1.8696, 9.4935], [1.8696, 1.8696, -9.4935]],
  "species": ["Co", "Co", "Re", "Re", "Re", "Re", "Hg", "Hg"],
  "frac_coords": [[0.0000, 0.0000, 0.0000], [0.7500, 0.2500, 0.5000], [0.0846, 0.6250, 0.9596], [0.3750, 0.3346, 0.4596], [0.6654, 0.1250, 0.0404], [0.8750, 0.9154, 0.5404], [0.2500, 0.7500, 0.5000], [0.5000, 0.5000, 0.0000]],
  "space_group": "I-42d, No. 122"
}

=====

[8]
{
  "formula": "CoRe2Hg",
  "functional": "GGA-PBE",
  "state": "relaxed",
  "lattice_angstrom": [[2.7232, 0.0000, 0.0000], [0.0000, 3.7744, 0.0000], [0.0000, 0.0000, 6.0572]],
  "species": ["Co", "Re", "Re", "Hg"],
  "frac_coords": [[0.0000, 0.0000, 0.0000], [0.5000, 0.5000, 0.2003], [0.5000, 0.5000, 0.7997], [0.0000, 0.0000, 0.5000]],
  "space_group": "Pmmm, No. 47"
}

=====

[9]
{
  "formula": "CoRe2Hg",
  "functional": "GGA-PBE",
  "state": "relaxed",
  "lattice_angstrom": [[2.8169, 0.0000, 0.0000], [0.0000, 2.8169, 0.0000], [0.0000, 0.0000, 7.6870]],
  "species": ["Co", "Re", "Re", "Hg"],
  "frac_coords": [[0.0000, 0.0000, 0.0000], [0.0000, 0.0000, 0.5523], [0.5000, 0.5000, 0.7873], [0.5000, 0.5000, 0.2566]],
  "space_group": "P4mm, No. 99"
}

=====

[10]
{
  "formula": "CoReHg2",
  "functional": "GGA-PBE",
  "state": "relaxed",
  "lattice_angstrom": [[2.8764, 0.0000, 0.0000], [0.0000, 2.8368, 0.0000], [-1.4360, 0.0000, 8.4861]],
  "species": ["Co", "Re", "Hg", "Hg"],
  "frac_coords": [[0.0000, 0.0000, 0.0000], [0.5852, 0.5000, 0.1712], [0.2160, 0.0000, 0.4361], [0.3798, 0.5000, 0.7617]],
  "space_group": "Pm, No. 6",
  "e_above_lowest_polymorph_mev_per_atom": 0
}

=====

[11]
{
  "formula": "CoReHg2",
  "functional": "GGA-PBE",
  "state": "relaxed",
  "lattice_angstrom": [[1.5592, -2.3423, 0.0000], [1.5592, 2.3423, 0.0000], [0.0000, 0.0000, 9.3617]],
  "species": ["Co", "Re", "Hg", "Hg"],
  "frac_coords": [[0.0000, 0.0000, 0.0000], [0.0000, 0.0000, 0.5000], [0.5000, 0.5000, 0.2356], [0.5000, 0.5000, 0.7644]],
  "space_group": "Cmmm, No. 65",
  "e_above_lowest_polymorph_mev_per_atom": 427
}

=====

[12]
{
  "formula": "CoRe2Hg",
  "functional": "GGA-PBE",
  "state": "relaxed",
  "lattice_angstrom": [[1.3856, 0.7999, 9.2031], [-1.3856, 0.7999, 9.2031], [0.0000, -1.5999, 9.2031]],
  "species": ["Co", "Re", "Re", "Hg"],
  "frac_coords": [[0.0000, 0.0000, 0.0000], [0.2605, 0.2605, 0.2605], [0.7395, 0.7395, 0.7395], [0.5000, 0.5000, 0.5000]],
  "space_group": "R-3m, No. 166"
}

=====

ΔE_f in eV/atom, matching the order above: 0.432 0.877 0.805 0.813 0.634 1.013 0.995 0.602 0.400 0.395 0.821 0.537